First-principles (GGA-PBE) data for a geometry-optimized NiC structure, as listed in Alexandria via LeMat-Bulk.

Cell: 4.201 4.201 5.032 Å, 90.00 90.00 120.00°
Element x y z (fractional)
C  0.333  0.667  0.121
C  0.333  0.667  0.379
C  0.667  0.333  0.621
C  0.667  0.333  0.879
Ni  0.000  0.000  0.250
Ni  0.000  0.000  0.750
Ni  0.333  0.667  0.750
Ni  0.667  0.333  0.250

raw total energy = -6.37 eV per atom
formation energy from the elements = 1.1291 eV per atom